# 1
Be4Co | PBE | relaxed

Computed properties:
relative energy among the computed polymorphs	0.000	eV per atom
VASP energy	-4.6044	eV per atom
M_tot	0.0	μB/cell
DFT formation energy	-202	meV per atom

Cell: 5.603 5.603 2.618 Å, 90.00 90.00 90.00°
Element x y z (fractional)
Be 0.103 0.699 0.000
Be 0.199 0.397 0.500
Be 0.301 0.103 0.000
Be 0.397 0.801 0.500
Be 0.603 0.199 0.500
Be 0.699 0.897 0.000
Be 0.801 0.603 0.500
Be 0.897 0.301 0.000
Co 0.000 0.000 0.500
Co 0.500 0.500 0.000



# 2
ZrCdPb2 | PBE | relaxed

Computed properties:
VASP energy	-4.2011	eV per atom
M_tot	0.0	μB/cell
DFT formation energy	19	meV per atom

Cell: 3.383 5.349 11.371 Å, 90.00 90.00 90.00°
Element x y z (fractional)
Zr 0.000 0.000 0.000
Zr 0.500 0.500 0.500
Cd 0.000 0.500 0.728
Cd 0.500 0.000 0.228
Pb 0.000 0.000 0.479
Pb 0.000 0.500 0.254
Pb 0.500 0.000 0.754
Pb 0.500 0.500 0.979



# 3
KNa3Hg3 | PBE | relaxed

Computed properties:
relative energy among the computed polymorphs	0.190	eV per atom
VASP energy	-0.8688	eV per atom
M_tot	0.0	μB/cell
DFT formation energy	-17	meV per atom

Cell: 8.407 8.407 8.407 Å, 90.00 90.00 90.00°
Element x y z (fractional)
K 0.000 0.000 0.000
K 0.500 0.500 0.500
Na 0.000 0.250 0.500
Na 0.000 0.750 0.500
Na 0.250 0.500 0.000
Na 0.500 0.000 0.250
Na 0.500 0.000 0.750
Na 0.750 0.500 0.000
Hg 0.000 0.500 0.250
Hg 0.000 0.500 0.750
Hg 0.250 0.000 0.500
Hg 0.500 0.250 0.000
Hg 0.500 0.750 0.000
Hg 0.750 0.000 0.500



# 4
SiNiPH | PBE | relaxed

Computed properties:
relative energy among the computed polymorphs	0.056	eV per atom
VASP energy	-5.0795	eV per atom
M_tot	0.0	μB/cell

Cell: 2.620 3.921 5.268 Å, 69.96 76.37 70.79°
Element x y z (fractional)
Si 0.000 0.000 0.000
Ni 0.546 0.587 0.323
P 0.200 0.067 0.539
H 0.775 0.413 0.031



# 5
Pu2SnS5 | PBE | relaxed

Computed properties:
formation energy from raw total energies	-25.77	kcal/mol of atoms
VASP energy	-7.7806	eV per atom
M_tot	17.2	μB/cell

Cell: 6.978 6.978 13.335 Å, 90.00 90.00 135.29°
Element x y z (fractional)
Pu 0.146 0.854 0.560
Pu 0.146 0.854 0.940
Pu 0.854 0.146 0.060
Pu 0.854 0.146 0.440
Sn 0.199 0.801 0.250
Sn 0.801 0.199 0.750
S 0.050 0.950 0.115
S 0.050 0.950 0.385
S 0.242 0.758 0.750
S 0.319 0.681 0.058
S 0.319 0.681 0.442
S 0.681 0.319 0.558
S 0.681 0.319 0.942
S 0.758 0.242 0.250
S 0.950 0.050 0.615
S 0.950 0.050 0.885



# 6
MnCoOs | PBE | relaxed

Computed properties:
relative energy among the computed polymorphs	0.465	eV per atom
VASP energy	-8.6193	eV per atom
M_tot	1.8	μB/cell
DFT formation energy	549	meV per atom

Cell: 5.483 5.483 5.483 Å, 90.00 90.00 90.00°
Element x y z (fractional)
Mn 0.000 0.000 0.000
Mn 0.000 0.500 0.500
Mn 0.500 0.000 0.500
Mn 0.500 0.500 0.000
Co 0.250 0.250 0.750
Co 0.250 0.750 0.250
Co 0.750 0.250 0.250
Co 0.750 0.750 0.750
Os 0.250 0.250 0.250
Os 0.250 0.750 0.750
Os 0.750 0.250 0.750
Os 0.750 0.750 0.250



# 7
CaScSi2Pt5 | PBE | relaxed

Computed properties:
formation energy from raw total energies	-20.55	kcal/mol of atoms
VASP energy	-6.3782	eV per atom
M_tot	0.0	μB/cell

Cell: 4.046 4.046 10.981 Å, 90.00 90.00 90.00°
Element x y z (fractional)
Ca 0.000 0.000 0.000
Sc 0.000 0.000 0.500
Si 0.500 0.500 0.213
Si 0.500 0.500 0.787
Pt 0.000 0.500 0.326
Pt 0.000 0.500 0.674
Pt 0.500 0.000 0.326
Pt 0.500 0.000 0.674
Pt 0.500 0.500 0.000



# 8
TaMn2As | PBE | relaxed

Computed properties:
VASP energy	-8.8366	eV per atom
M_tot	4.4	μB/cell
DFT formation energy	-126	meV per atom

Cell: 3.297 3.297 5.391 Å, 90.00 90.00 90.00°
Element x y z (fractional)
Ta 0.000 0.000 0.000
Mn 0.500 0.500 0.254
Mn 0.500 0.500 0.746
As 0.000 0.000 0.500